An optimized crystal structure of CuAsPdS2, computed with PBE.

```
CuAsPdS2
1.0
-1.879 -4.089 -1.817
-0.760 -1.467 4.088
-4.396 2.055 -0.080
S Cu As Pd
2 1 1 1
direct
0.500 0.000 0.000
0.000 0.000 0.500
0.000 0.500 0.000
0.000 0.000 0.000
0.500 0.500 0.500
```

Calculated values
E	-18.4	eV for the cell shown
symmetry	No. 123
crystal system	tetragonal
formation energy without anion corrections	0.760	eV/atom